{"formula": "HfCo4Ge2", "functional": "PBE-GGA", "state": "relaxed", "cell": [[7.044, 0.000, 0.000], [0.000, 7.044, 0.000], [0.000, 0.000, 3.720]], "species": ["Hf", "Hf", "Co", "Co", "Co", "Co", "Co", "Co", "Co", "Co", "Ge", "Ge", "Ge", "Ge"], "frac_coords": [[0.000, 0.000, 0.000], [0.500, 0.500, 0.500], [0.087, 0.352, 0.500], [0.148, 0.587, 0.000], [0.352, 0.087, 0.500], [0.413, 0.852, 0.000], [0.587, 0.148, 0.000], [0.648, 0.913, 0.500], [0.852, 0.413, 0.000], [0.913, 0.648, 0.500], [0.218, 0.782, 0.500], [0.282, 0.282, 0.000], [0.718, 0.718, 0.000], [0.782, 0.218, 0.500]], "formation_energy_ev_per_atom": -0.319, "m_tot_mub_per_fu": 2.282}

{"formula": "HfCo3Ge", "functional": "PBE-GGA", "state": "relaxed", "cell": [[4.546, 0.000, 0.000], [0.000, 4.546, 0.000], [0.000, 0.000, 4.546]], "species": ["Hf", "Co", "Co", "Co", "Ge"], "frac_coords": [[0.000, 0.000, 0.000], [0.000, 0.000, 0.500], [0.000, 0.500, 0.000], [0.500, 0.000, 0.000], [0.500, 0.500, 0.500]], "formation_energy_ev_per_atom": 1.381, "m_tot_mub_per_fu": 2.277}

{"formula": "HfCo3Ge", "functional": "PBE-GGA", "state": "relaxed", "cell": [[-2.442, 3.405, 4.094], [2.442, -3.405, 4.094], [2.442, 3.405, -4.094]], "species": ["Hf", "Hf", "Co", "Co", "Co", "Co", "Co", "Co", "Ge", "Ge"], "frac_coords": [[0.257, 0.007, 0.250], [0.743, 0.993, 0.750], [0.056, 0.306, 0.750], [0.299, 0.000, 0.799], [0.299, 0.500, 0.299], [0.701, 0.000, 0.201], [0.701, 0.500, 0.701], [0.944, 0.694, 0.250], [0.000, 0.500, 0.500], [0.500, 0.500, 0.000]], "formation_energy_ev_per_atom": -0.221, "m_tot_mub_per_fu": 0.001}

{"formula": "Hf3CoGe", "functional": "PBE-GGA", "state": "relaxed", "cell": [[7.190, -1.724, 0.000], [7.190, 1.724, 0.000], [-0.206, 0.000, 7.550]], "species": ["Hf", "Hf", "Hf", "Hf", "Hf", "Hf", "Co", "Co", "Ge", "Ge"], "frac_coords": [[0.060, 0.060, 0.318], [0.217, 0.217, 0.658], [0.412, 0.412, 0.093], [0.588, 0.588, 0.907], [0.783, 0.783, 0.342], [0.940, 0.940, 0.682], [0.416, 0.416, 0.432], [0.584, 0.584, 0.568], [0.206, 0.206, 0.088], [0.794, 0.794, 0.912]], "formation_energy_ev_per_atom": -0.324, "m_tot_mub_per_fu": 0.000}

{"formula": "Hf3CoGe2", "functional": "PBE-GGA", "state": "relaxed", "cell": [[10.625, 0.000, 0.000], [0.000, 3.893, 0.000], [0.000, 0.000, 10.403]], "species": ["Hf", "Hf", "Hf", "Hf", "Hf", "Hf", "Hf", "Hf", "Hf", "Hf", "Hf", "Hf", "Co", "Co", "Co", "Co", "Ge", "Ge", "Ge", "Ge", "Ge", "Ge", "Ge", "Ge"], "frac_coords": [[0.051, 0.250, 0.124], [0.121, 0.750, 0.562], [0.218, 0.250, 0.806], [0.282, 0.750, 0.306], [0.379, 0.250, 0.062], [0.449, 0.750, 0.624], [0.551, 0.250, 0.376], [0.621, 0.750, 0.938], [0.718, 0.250, 0.694], [0.782, 0.750, 0.194], [0.879, 0.250, 0.438], [0.949, 0.750, 0.876], [0.132, 0.250, 0.362], [0.368, 0.750, 0.862], [0.632, 0.250, 0.138], [0.868, 0.750, 0.638], [0.014, 0.750, 0.310], [0.190, 0.750, 0.005], [0.310, 0.250, 0.505], [0.486, 0.250, 0.810], [0.514, 0.750, 0.190], [0.690, 0.750, 0.495], [0.810, 0.250, 0.995], [0.986, 0.250, 0.690]], "formation_energy_ev_per_atom": -0.630, "m_tot_mub_per_fu": 0.000}

{"formula": "HfCo4Ge", "functional": "PBE-GGA", "state": "relaxed", "cell": [[6.954, 0.000, 0.000], [0.000, 3.559, 0.000], [0.000, 0.000, 6.366]], "species": ["Hf", "Hf", "Co", "Co", "Co", "Co", "Co", "Co", "Co", "Co", "Ge", "Ge"], "frac_coords": [[0.250, 0.000, 0.147], [0.750, 0.000, 0.853], [0.000, 0.000, 0.500], [0.038, 0.500, 0.805], [0.250, 0.500, 0.453], [0.462, 0.500, 0.805], [0.500, 0.000, 0.500], [0.538, 0.500, 0.195], [0.750, 0.500, 0.547], [0.962, 0.500, 0.195], [0.250, 0.000, 0.728], [0.750, 0.000, 0.272]], "formation_energy_ev_per_atom": -0.166, "m_tot_mub_per_fu": 2.686}

{"formula": "Hf4Co2Ge", "functional": "PBE-GGA", "state": "relaxed", "cell": [[2.062, 1.191, 9.053], [-2.062, 1.191, 9.053], [0.000, -2.381, 9.053]], "species": ["Hf", "Hf", "Hf", "Hf", "Co", "Co", "Ge"], "frac_coords": [[0.115, 0.115, 0.115], [0.298, 0.298, 0.298], [0.702, 0.702, 0.702], [0.885, 0.885, 0.885], [0.400, 0.400, 0.400], [0.600, 0.600, 0.600], [0.500, 0.500, 0.500]], "formation_energy_ev_per_atom": -0.236, "m_tot_mub_per_fu": 0.000}

{"formula": "Hf3Co6Ge5", "functional": "PBE-GGA", "state": "relaxed", "cell": [[3.883, 0.000, 0.000], [0.000, 11.778, 0.000], [0.000, 0.000, 8.647]], "species": ["Hf", "Hf", "Hf", "Hf", "Hf", "Hf", "Co", "Co", "Co", "Co", "Co", "Co", "Co", "Co", "Co", "Co", "Co", "Co", "Ge", "Ge", "Ge", "Ge", "Ge", "Ge", "Ge", "Ge", "Ge", "Ge"], "frac_coords": [[0.250, 0.059, 0.241], [0.250, 0.441, 0.241], [0.250, 0.750, 0.242], [0.750, 0.250, 0.758], [0.750, 0.559, 0.759], [0.750, 0.941, 0.759], [0.250, 0.065, 0.585], [0.250, 0.250, 0.030], [0.250, 0.250, 0.389], [0.250, 0.435, 0.585], [0.250, 0.588, 0.988], [0.250, 0.912, 0.988], [0.750, 0.088, 0.012], [0.750, 0.412, 0.012], [0.750, 0.565, 0.415], [0.750, 0.750, 0.611], [0.750, 0.750, 0.970], [0.750, 0.935, 0.415], [0.250, 0.094, 0.855], [0.250, 0.406, 0.855], [0.250, 0.630, 0.526], [0.250, 0.750, 0.811], [0.250, 0.870, 0.526], [0.750, 0.130, 0.474], [0.750, 0.250, 0.189], [0.750, 0.370, 0.474], [0.750, 0.594, 0.145], [0.750, 0.906, 0.145]], "formation_energy_ev_per_atom": -0.511, "m_tot_mub_per_fu": 0.006}

{"formula": "Hf8CoGe2", "functional": "PBE-GGA", "state": "relaxed", "cell": [[8.049, -1.906, 0.000], [8.049, 1.906, 0.000], [-0.937, 0.000, 7.257]], "species": ["Hf", "Hf", "Hf", "Hf", "Hf", "Hf", "Hf", "Hf", "Co", "Ge", "Ge"], "frac_coords": [[0.001, 0.001, 0.217], [0.208, 0.208, 0.347], [0.339, 0.339, 0.990], [0.408, 0.408, 0.489], [0.592, 0.592, 0.511], [0.661, 0.661, 0.010], [0.792, 0.792, 0.653], [0.999, 0.999, 0.783], [0.500, 0.500, 0.000], [0.180, 0.180, 0.741], [0.820, 0.820, 0.259]], "formation_energy_ev_per_atom": -0.285, "m_tot_mub_per_fu": 0.000}

{"formula": "HfCo4Ge", "functional": "PBE-GGA", "state": "relaxed", "cell": [[0.000, 3.376, 3.376], [3.376, 0.000, 3.376], [3.376, 3.376, 0.000]], "species": ["Hf", "Co", "Co", "Co", "Co", "Ge"], "frac_coords": [[0.000, 0.000, 0.000], [0.376, 0.376, 0.376], [0.376, 0.376, 0.873], [0.376, 0.873, 0.376], [0.873, 0.376, 0.376], [0.750, 0.750, 0.750]], "formation_energy_ev_per_atom": -0.192, "m_tot_mub_per_fu": 3.501}

{"formula": "HfCo4Ge2", "functional": "PBE-GGA", "state": "relaxed", "cell": [[-2.263, 2.263, 4.824], [2.263, -2.263, 4.824], [2.263, 2.263, -4.824]], "species": ["Hf", "Co", "Co", "Co", "Co", "Ge", "Ge"], "frac_coords": [[0.000, 0.000, 0.000], [0.000, 0.500, 0.500], [0.250, 0.750, 0.500], [0.500, 0.000, 0.500], [0.750, 0.250, 0.500], [0.357, 0.357, 0.000], [0.643, 0.643, 0.000]], "formation_energy_ev_per_atom": 0.209, "m_tot_mub_per_fu": 2.228}

{"formula": "Hf2CoGeIr", "functional": "PBE-GGA", "state": "relaxed", "cell": [[4.678, 0.000, 0.000], [0.000, 4.678, 0.000], [0.000, 0.000, 4.477]], "species": ["Hf", "Hf", "Co", "Ge", "Ir"], "frac_coords": [[0.000, 0.500, 0.000], [0.500, 0.000, 0.000], [0.000, 0.000, 0.000], [0.500, 0.500, 0.500], [0.000, 0.000, 0.500]], "formation_energy_ev_per_atom": 0.258, "m_tot_mub_per_fu": 0.203}

D(E_F)? In order: 8.43 3.53 5.21 4.11 3.76 6.76 5.93 8.30 8.28 8.54 9.01 5.62 states/eV/f.u..